VASP calculation (PBE) on an optimized crystal structure of PmDy2Er9.

Structure (POSCAR):
```
PmDy2Er9
1.0
3.490 0.000 0.000
0.000 11.136 0.000
0.000 -5.568 9.644
Pm Dy Er
1 2 9
direct
0.000 0.000 0.000
0.000 0.333 0.667
0.000 0.667 0.333
0.000 0.000 0.500
0.000 0.500 0.500
0.000 0.500 0.000
0.500 0.356 0.178
0.500 0.178 0.822
0.500 0.178 0.356
0.500 0.822 0.644
0.500 0.822 0.178
0.500 0.644 0.822
```

DFT formation energy, eV per formula unit: 0.543
Size of the total moment, μB per atom: 0.00
ΔE to the lowest computed polymorph, kcal/mol of atoms: 0.506

---

VASP calculation (PBE) on an optimized crystal structure of HfNp4P5.

Structure (POSCAR):
```
HfNp4P5
1.0
3.863 0.000 -0.544
-0.077 3.863 -0.544
0.006 0.006 14.020
Hf Np P
1 4 5
direct
0.000 0.000 0.000
0.402 0.402 0.805
0.801 0.801 0.602
0.199 0.199 0.398
0.598 0.598 0.195
0.096 0.096 0.192
0.500 0.500 0.000
0.904 0.904 0.808
0.301 0.301 0.601
0.699 0.699 0.399
```

DFT formation energy, eV per formula unit: -9.309
Size of the total moment, μB per atom: 0.01

---

VASP calculation (PBE) on an optimized crystal structure of BaScIn2Pb.

Structure (POSCAR):
```
BaScIn2Pb
1.0
-0.681 1.785 -6.026
5.511 -2.585 -1.389
-2.892 -5.470 -1.293
Pb Sc Ba In
1 1 1 2
direct
0.000 0.500 0.000
0.000 0.000 0.000
0.500 0.500 0.500
0.000 0.000 0.500
0.500 0.000 0.000
```

DFT formation energy, eV per formula unit: 0.579
Size of the total moment, μB per atom: 0.00

---

VASP calculation (PBE) on an optimized crystal structure of InBiS3.

Structure (POSCAR):
```
InBiS3
1.0
3.921 0.000 0.000
0.000 6.684 -0.216
0.000 -0.091 10.183
In Bi S
2 2 6
direct
0.250 0.751 0.999
0.750 0.249 0.001
0.250 0.418 0.341
0.750 0.582 0.659
0.750 0.252 0.481
0.250 0.748 0.519
0.250 0.412 0.854
0.750 0.588 0.146
0.250 0.098 0.139
0.750 0.902 0.861
```

Size of the total moment, μB per atom: 0.00
Formation energy (no corrections), meV per atom: -445.8

---

VASP calculation (PBE) on an optimized crystal structure of AlAgIO2.

Structure (POSCAR):
```
AlAgIO2
1.0
-1.176 3.513 -0.747
-2.956 -0.501 2.299
3.464 2.208 4.934
I O Al Ag
1 2 1 1
direct
0.000 0.000 0.500
0.000 0.500 0.000
0.500 0.000 0.000
0.000 0.000 0.000
0.500 0.500 0.500
```

Size of the total moment, μB per atom: 0.00
ΔE to the lowest computed polymorph, kcal/mol of atoms: 0.000
Formation energy (no corrections), meV per atom: -885.1